Entry from Alexandria: a relaxed Cs3Tb3MoO8 crystal (PBE+U).

Properties
Total energy ... -0.4913 Ry per atom
Space group ... C2/m, No. 12
Size of the total moment ... 0.13 μB/atom

Cell and atoms, written as POSCAR:
```
Cs3Tb3MoO8
1.0
-5.1083 1.5053 4.4936
-0.2317 -5.8375 -3.7979
5.2556 0.0077 6.0612
O Cs Tb Mo
8 3 3 1
Direct
0.2025 0.4068 0.6536
0.7895 0.0537 0.3433
0.7975 0.5932 0.3464
0.2105 0.9463 0.6567
0.2813 0.5583 0.3396
0.7467 0.9511 0.6536
0.2533 0.0489 0.3464
0.7187 0.4417 0.6604
0.0000 0.0000 0.0000
0.0000 0.5000 0.0000
0.5000 0.5000 0.0000
0.0000 0.5000 0.5000
0.5000 0.0000 0.5000
0.5000 0.5000 0.5000
0.0000 0.0000 0.5000
```

---

Entry from Alexandria: a relaxed SrPuMnO6 crystal (PBE+U).

Properties
Total energy ... -0.6039 Ry per atom
Space group ... P-31c, No. 163
Size of the total moment ... 0.56 μB/atom

Cell and atoms, written as POSCAR:
```
SrPuMnO6
1.0
-3.0686 -0.1060 4.3648
4.9698 -1.9354 0.1846
3.7018 9.7762 2.8399
O Sr Mn Pu
12 2 2 2
Direct
0.6355 0.0106 0.8511
0.6355 0.6249 0.6489
0.9894 0.6249 0.8511
0.6249 0.9894 0.3511
0.3751 0.3645 0.8511
0.0106 0.3751 0.1489
0.9894 0.3645 0.6489
0.3645 0.9894 0.1489
0.0106 0.6355 0.3511
0.6249 0.6355 0.1489
0.3751 0.0106 0.6489
0.3645 0.3751 0.3511
0.0000 0.0000 0.5000
0.0000 0.0000 0.0000
0.6667 0.3333 0.7500
0.3333 0.6667 0.2500
0.6667 0.3333 0.2500
0.3333 0.6667 0.7500
```